This record from Alexandria via LeMat-Bulk describes an optimized crystal structure of CsBaHg2Rh. The functional is PBE.

Geometry as POSCAR:
```
CsBaHg2Rh
1.0
5.593 0.000 0.000
0.000 5.593 0.000
0.000 0.000 5.574
Cs Ba Hg Rh
1 1 2 1
direct
0.000 0.000 0.000 Cs
0.500 0.500 0.000 Ba
0.000 0.500 0.500 Hg
0.500 0.000 0.500 Hg
0.500 0.500 0.500 Rh
```

Properties
Its total energy is -11.594 eV/f.u. For the total magnetization, the calculation gives 0.00 μB/cell. The theoretical density is 7.37 g/cm3. Its space-group type is P4/mmm (123).